[1]
Density functional theory data (PBE) for a geometry-optimized Ac3Co3Au structure.

Cell lengths 10.2303, 10.2303, 4.0620 Å; angles 90.00, 90.00, 120.00 degrees
Last column: nearest neighbours and their distance in Å.
Space group P6_3/m (No. 176)
Asymmetric unit:
Ac 0.1011 0.7056 0.2500 [6 per cell]  4 Co 3.03-3.24, 2 Au 3.30
Co 0.0319 0.8827 0.7500 [6 per cell]  6 Co 2.41-2.46
Au 0.3333 0.6667 0.7500 [2 per cell]  6 Ac 3.30

## Properties
ΔE_f: -1.287 eV per formula unit
mass density: 9.5 g cm⁻³
uncorrected energy: -5.4582 eV per atom

[2]
Density functional theory data (PBE) for a geometry-optimized IrC structure.

Cell lengths 2.8711, 7.7948, 4.6489 Å; angles 90.00, 90.00, 90.00 degrees
Last column: nearest neighbours and their distance in Å.
Space group Imm2 (No. 44)
Asymmetric unit:
Ir 0.0000 0.1991 0.0000 [4 per cell]  3 C 2.01-2.04
C 0.0000 0.4100 0.2492 [4 per cell]  1 C 1.40

## Properties
distance to the lowest polymorph of the same formula: 163 meV/atom
ΔE_f: 1.241 eV per formula unit
mass density: 13.0 g cm⁻³
uncorrected energy: -8.4222 eV per atom

[3]
Density functional theory data (PBE) for a geometry-optimized Ce3Er4S8 structure.

Cell lengths 11.1281, 11.1392, 7.8407 Å; angles 90.00, 134.69, 90.00 degrees
Last column: nearest neighbours and their distance in Å.
Space group C2/m (No. 12)
Asymmetric unit:
Ce 0.0000 0.0000 0.0000 [2 per cell]  6 S 2.84
Ce 0.2500 0.2500 0.0000 [4 per cell]  6 S 2.78-2.79
Er 0.0000 0.5000 0.0000 [2 per cell]  6 S 2.72-2.74
Er 0.0000 0.5000 0.5000 [2 per cell]  6 S 2.74-2.76
Er 0.2500 0.2500 0.5000 [4 per cell]  6 S 2.78-2.79
S 0.0000 0.2535 0.5000 [4 per cell]  3 Er 2.75-2.78, 2 Ce 2.79
S 0.0000 0.2551 0.0000 [4 per cell]  3 Er 2.73-2.79, 3 Ce 2.78-2.84
S 0.2403 0.5000 0.9912 [4 per cell]  2 Er 2.72-2.74, 3 Ce 2.79-2.84
S 0.2431 0.5000 0.4908 [4 per cell]  4 Er 2.74-2.79, 1 Ce 2.84

## Properties
formation energy from raw total energies: -2.03 eV per atom
mass density: 6.5 g cm⁻³
uncorrected energy: -6.6300 eV per atom